Material: Ba2MgP2O8
Method: DFT, PBEsol
State: relaxed

POSCAR file:
```
Ba2MgP2O8
1.0
5.314 0.000 0.000
0.000 8.837 0.000
-5.173 0.000 16.172
Ba Mg P O
8 4 8 32
Cartesian
-1.258 1.394 4.387
-3.844 3.025 12.473
-4.123 6.230 15.844
-1.537 7.026 7.758
1.678 1.811 8.414
4.264 2.608 0.328
3.985 5.812 3.699
1.399 7.444 11.785
1.471 0.114 2.171
-1.115 4.304 10.257
1.256 4.533 5.915
-1.331 8.723 14.001
-3.774 0.777 14.915
-1.188 3.642 6.829
-1.215 0.964 10.768
1.371 3.455 2.682
-1.230 5.382 13.490
1.356 7.873 5.404
1.329 5.195 9.344
3.915 8.060 1.257
-2.689 5.654 10.079
-0.102 7.602 1.993
1.152 0.742 0.249
-1.435 3.677 8.335
-0.759 5.017 6.241
-3.346 8.239 14.327
-1.756 0.235 9.508
0.831 4.184 1.422
-2.784 5.397 13.486
-0.197 7.858 5.400
0.796 2.002 2.695
-1.790 2.416 10.781
-2.610 1.740 14.561
-0.024 2.678 6.475
-1.741 0.234 12.037
0.846 4.184 3.951
-0.705 4.653 12.221
1.881 8.603 4.135
0.165 6.159 9.698
2.751 7.097 1.611
1.931 6.421 5.391
-0.656 6.835 13.477
0.338 0.979 10.772
2.925 3.440 2.686
-0.690 4.654 14.750
1.897 8.602 6.664
3.486 0.598 1.845
0.900 3.820 9.932
1.575 5.160 7.837
-1.011 8.095 15.923
0.243 1.236 14.179
2.829 3.183 6.093
```

V = 189.8 Å³/f.u.
E_tot = -7.4090 eV per atom
Fermi-level density of states = 0.0 states/eV/cell